# 1
# GGA-PBE Nd3Sn13Rh4, optimized geometry
data_Nd3Sn13Rh4
_chemical_formula_sum 'Nd6 Sn26 Rh8'
_cell_length_a 9.807
_cell_length_b 9.807
_cell_length_c 9.807
_cell_angle_alpha 90.00
_cell_angle_beta 90.00
_cell_angle_gamma 90.00
_symmetry_space_group_name_H-M 'P 1'
_symmetry_Int_Tables_number 1
_symmetry_space_group_name_Hall 'P 1'
loop_
_atom_site_label
_atom_site_type_symbol
_atom_site_fract_x
_atom_site_fract_y
_atom_site_fract_z
_atom_site_occupancy
Nd1 Nd 0.500 0.000 0.750 1
Nd2 Nd 0.500 0.000 0.250 1
Nd3 Nd 0.250 0.500 0.000 1
Nd4 Nd 0.750 0.500 0.000 1
Nd5 Nd 0.000 0.250 0.500 1
Nd6 Nd 0.000 0.750 0.500 1
Sn1 Sn 0.500 0.347 0.193 1
Sn2 Sn 0.193 0.500 0.347 1
Sn3 Sn 0.307 0.847 0.000 1
Sn4 Sn 0.000 0.693 0.847 1
Sn5 Sn 0.347 0.193 0.500 1
Sn6 Sn 0.193 0.500 0.653 1
Sn7 Sn 0.000 0.000 0.000 1
Sn8 Sn 0.653 0.807 0.500 1
Sn9 Sn 0.000 0.307 0.153 1
Sn10 Sn 0.807 0.500 0.653 1
Sn11 Sn 0.653 0.193 0.500 1
Sn12 Sn 0.500 0.653 0.807 1
Sn13 Sn 0.693 0.847 0.000 1
Sn14 Sn 0.347 0.807 0.500 1
Sn15 Sn 0.307 0.153 0.000 1
Sn16 Sn 0.847 0.000 0.693 1
Sn17 Sn 0.500 0.653 0.193 1
Sn18 Sn 0.847 0.000 0.307 1
Sn19 Sn 0.000 0.693 0.153 1
Sn20 Sn 0.500 0.500 0.500 1
Sn21 Sn 0.000 0.307 0.847 1
Sn22 Sn 0.153 0.000 0.693 1
Sn23 Sn 0.693 0.153 0.000 1
Sn24 Sn 0.500 0.347 0.807 1
Sn25 Sn 0.807 0.500 0.347 1
Sn26 Sn 0.153 0.000 0.307 1
Rh1 Rh 0.250 0.750 0.250 1
Rh2 Rh 0.750 0.250 0.250 1
Rh3 Rh 0.750 0.750 0.250 1
Rh4 Rh 0.250 0.250 0.750 1
Rh5 Rh 0.750 0.250 0.750 1
Rh6 Rh 0.750 0.750 0.750 1
Rh7 Rh 0.250 0.250 0.250 1
Rh8 Rh 0.250 0.750 0.750 1
# SG ... Pm-3n (223)

# 2
# GGA-PBE Nd2SnRh3, optimized geometry
data_Nd2SnRh3
_chemical_formula_sum 'Nd2 Sn1 Rh3'
_cell_length_a 4.675
_cell_length_b 5.542
_cell_length_c 6.254
_cell_angle_alpha 116.30
_cell_angle_beta 111.95
_cell_angle_gamma 90.00
_symmetry_space_group_name_H-M 'P 1'
_symmetry_Int_Tables_number 1
_symmetry_space_group_name_Hall 'P 1'
loop_
_atom_site_label
_atom_site_type_symbol
_atom_site_fract_x
_atom_site_fract_y
_atom_site_fract_z
_atom_site_occupancy
Nd1 Nd 0.680 0.180 0.361 1
Nd2 Nd 0.320 0.820 0.639 1
Sn1 Sn 0.000 0.500 0.000 1
Rh1 Rh 0.364 0.364 0.728 1
Rh2 Rh 0.000 0.000 0.000 1
Rh3 Rh 0.636 0.636 0.272 1
# SG ... Immm (71)

# 3
# GGA-PBE NdSn2Rh3, optimized geometry
data_NdSn2Rh3
_chemical_formula_sum 'Nd3 Sn6 Rh9'
_cell_length_a 4.277
_cell_length_b 9.005
_cell_length_c 10.152
_cell_angle_alpha 106.44
_cell_angle_beta 90.00
_cell_angle_gamma 103.74
_symmetry_space_group_name_H-M 'P 1'
_symmetry_Int_Tables_number 1
_symmetry_space_group_name_Hall 'P 1'
loop_
_atom_site_label
_atom_site_type_symbol
_atom_site_fract_x
_atom_site_fract_y
_atom_site_fract_z
_atom_site_occupancy
Nd1 Nd 0.170 0.340 0.715 1
Nd2 Nd 0.830 0.660 0.285 1
Nd3 Nd 0.000 0.000 0.000 1
Sn1 Sn 0.189 0.379 0.121 1
Sn2 Sn 0.811 0.621 0.879 1
Sn3 Sn 0.461 0.923 0.222 1
Sn4 Sn 0.539 0.077 0.778 1
Sn5 Sn 0.360 0.720 0.543 1
Sn6 Sn 0.640 0.280 0.457 1
Rh1 Rh 0.044 0.088 0.339 1
Rh2 Rh 0.956 0.912 0.661 1
Rh3 Rh 0.212 0.424 0.391 1
Rh4 Rh 0.788 0.576 0.609 1
Rh5 Rh 0.614 0.227 0.190 1
Rh6 Rh 0.386 0.773 0.810 1
Rh7 Rh 0.500 0.000 0.500 1
Rh8 Rh 0.320 0.640 0.042 1
Rh9 Rh 0.680 0.360 0.958 1
# SG ... C2/m (12)

# 4
# GGA-PBE Nd4SnRh, optimized geometry
data_Nd4SnRh
_chemical_formula_sum 'Nd8 Sn2 Rh2'
_cell_length_a 6.298
_cell_length_b 6.984
_cell_length_c 10.191
_cell_angle_alpha 90.00
_cell_angle_beta 125.05
_cell_angle_gamma 90.00
_symmetry_space_group_name_H-M 'P 1'
_symmetry_Int_Tables_number 1
_symmetry_space_group_name_Hall 'P 1'
loop_
_atom_site_label
_atom_site_type_symbol
_atom_site_fract_x
_atom_site_fract_y
_atom_site_fract_z
_atom_site_occupancy
Nd1 Nd 0.521 0.250 0.415 1
Nd2 Nd 0.479 0.750 0.585 1
Nd3 Nd 0.726 0.250 0.881 1
Nd4 Nd 0.274 0.750 0.119 1
Nd5 Nd 0.888 0.004 0.281 1
Nd6 Nd 0.112 0.504 0.719 1
Nd7 Nd 0.888 0.496 0.281 1
Nd8 Nd 0.112 0.996 0.719 1
Sn1 Sn 0.348 0.250 0.049 1
Sn2 Sn 0.652 0.750 0.951 1
Rh1 Rh 0.249 0.250 0.560 1
Rh2 Rh 0.751 0.750 0.440 1
# SG ... P2_1/m (11)
# Offset from the most stable computed form ... 0 kJ/mol of formula units

# 5
# GGA-PBE Nd6SnRh2, optimized geometry
data_Nd6SnRh2
_chemical_formula_sum 'Nd12 Sn2 Rh4'
_cell_length_a 8.796
_cell_length_b 8.796
_cell_length_c 8.796
_cell_angle_alpha 104.24
_cell_angle_beta 110.60
_cell_angle_gamma 113.72
_symmetry_space_group_name_H-M 'P 1'
_symmetry_Int_Tables_number 1
_symmetry_space_group_name_Hall 'P 1'
loop_
_atom_site_label
_atom_site_type_symbol
_atom_site_fract_x
_atom_site_fract_y
_atom_site_fract_z
_atom_site_occupancy
Nd1 Nd 0.526 0.706 0.819 1
Nd2 Nd 0.474 0.294 0.181 1
Nd3 Nd 0.113 0.294 0.819 1
Nd4 Nd 0.887 0.706 0.181 1
Nd5 Nd 0.800 0.767 0.567 1
Nd6 Nd 0.200 0.233 0.433 1
Nd7 Nd 0.200 0.767 0.967 1
Nd8 Nd 0.800 0.233 0.033 1
Nd9 Nd 0.691 0.362 0.671 1
Nd10 Nd 0.309 0.638 0.329 1
Nd11 Nd 0.309 0.980 0.671 1
Nd12 Nd 0.691 0.020 0.329 1
Sn1 Sn 0.000 0.500 0.500 1
Sn2 Sn 0.000 0.000 0.000 1
Rh1 Rh 0.500 0.367 0.867 1
Rh2 Rh 0.500 0.633 0.133 1
Rh3 Rh 0.663 0.000 0.663 1
Rh4 Rh 0.337 0.000 0.337 1
# SG ... Immm (71)

# 6
# GGA-PBE Nd2Sn5Rh3, optimized geometry
data_Nd2Sn5Rh3
_chemical_formula_sum 'Nd4 Sn10 Rh6'
_cell_length_a 6.420
_cell_length_b 9.042
_cell_length_c 9.042
_cell_angle_alpha 74.05
_cell_angle_beta 69.20
_cell_angle_gamma 69.20
_symmetry_space_group_name_H-M 'P 1'
_symmetry_Int_Tables_number 1
_symmetry_space_group_name_Hall 'P 1'
loop_
_atom_site_label
_atom_site_type_symbol
_atom_site_fract_x
_atom_site_fract_y
_atom_site_fract_z
_atom_site_occupancy
Nd1 Nd 0.147 0.580 0.126 1
Nd2 Nd 0.647 0.126 0.580 1
Nd3 Nd 0.853 0.420 0.874 1
Nd4 Nd 0.353 0.874 0.420 1
Sn1 Sn 0.415 0.255 0.914 1
Sn2 Sn 0.915 0.914 0.255 1
Sn3 Sn 0.585 0.745 0.086 1
Sn4 Sn 0.085 0.086 0.745 1
Sn5 Sn 0.469 0.781 0.781 1
Sn6 Sn 0.531 0.219 0.219 1
Sn7 Sn 0.750 0.500 0.500 1
Sn8 Sn 0.250 0.500 0.500 1
Sn9 Sn 0.031 0.219 0.219 1
Sn10 Sn 0.969 0.781 0.781 1
Rh1 Rh 0.358 0.539 0.746 1
Rh2 Rh 0.858 0.746 0.539 1
Rh3 Rh 0.642 0.461 0.254 1
Rh4 Rh 0.142 0.254 0.461 1
Rh5 Rh 0.250 0.000 0.000 1
Rh6 Rh 0.750 0.000 0.000 1
# SG ... Ibam (72)
# Offset from the most stable computed form ... 32 kJ/mol of formula units

# 7
# GGA-PBE Nd3Sn5Rh6, optimized geometry
data_Nd3Sn5Rh6
_chemical_formula_sum 'Nd6 Sn10 Rh12'
_cell_length_a 4.373
_cell_length_b 10.049
_cell_length_c 13.553
_cell_angle_alpha 90.00
_cell_angle_beta 90.00
_cell_angle_gamma 90.00
_symmetry_space_group_name_H-M 'P 1'
_symmetry_Int_Tables_number 1
_symmetry_space_group_name_Hall 'P 1'
loop_
_atom_site_label
_atom_site_type_symbol
_atom_site_fract_x
_atom_site_fract_y
_atom_site_fract_z
_atom_site_occupancy
Nd1 Nd 0.000 0.252 0.676 1
Nd2 Nd 0.500 0.748 0.176 1
Nd3 Nd 0.500 0.748 0.824 1
Nd4 Nd 0.000 0.236 0.000 1
Nd5 Nd 0.500 0.764 0.500 1
Nd6 Nd 0.000 0.252 0.324 1
Sn1 Sn 0.000 0.516 0.883 1
Sn2 Sn 0.000 0.858 0.666 1
Sn3 Sn 0.000 0.841 0.000 1
Sn4 Sn 0.500 0.484 0.617 1
Sn5 Sn 0.500 0.159 0.500 1
Sn6 Sn 0.000 0.516 0.117 1
Sn7 Sn 0.500 0.484 0.383 1
Sn8 Sn 0.000 0.858 0.334 1
Sn9 Sn 0.500 0.142 0.834 1
Sn10 Sn 0.500 0.142 0.166 1
Rh1 Rh 0.000 0.995 0.836 1
Rh2 Rh 0.500 0.005 0.664 1
Rh3 Rh 0.500 0.401 0.800 1
Rh4 Rh 0.500 0.484 0.000 1
Rh5 Rh 0.000 0.516 0.500 1
Rh6 Rh 0.000 0.599 0.700 1
Rh7 Rh 0.000 0.599 0.300 1
Rh8 Rh 0.500 0.997 0.000 1
Rh9 Rh 0.000 0.995 0.164 1
Rh10 Rh 0.500 0.401 0.200 1
Rh11 Rh 0.000 0.003 0.500 1
Rh12 Rh 0.500 0.005 0.336 1
# SG ... Pmmn (59)

# 8
# GGA-PBE Nd3SnRh, optimized geometry
data_Nd3SnRh
_chemical_formula_sum 'Nd6 Sn2 Rh2'
_cell_length_a 4.817
_cell_length_b 7.646
_cell_length_c 8.522
_cell_angle_alpha 113.29
_cell_angle_beta 90.00
_cell_angle_gamma 90.00
_symmetry_space_group_name_H-M 'P 1'
_symmetry_Int_Tables_number 1
_symmetry_space_group_name_Hall 'P 1'
loop_
_atom_site_label
_atom_site_type_symbol
_atom_site_fract_x
_atom_site_fract_y
_atom_site_fract_z
_atom_site_occupancy
Nd1 Nd 0.750 0.653 0.406 1
Nd2 Nd 0.250 0.347 0.594 1
Nd3 Nd 0.750 0.322 0.927 1
Nd4 Nd 0.250 0.951 0.755 1
Nd5 Nd 0.250 0.678 0.073 1
Nd6 Nd 0.750 0.049 0.245 1
Sn1 Sn 0.250 0.309 0.187 1
Sn2 Sn 0.750 0.691 0.813 1
Rh1 Rh 0.250 0.921 0.405 1
Rh2 Rh 0.750 0.079 0.595 1
# SG ... P2_1/m (11)
# Offset from the most stable computed form ... 0 kJ/mol of formula units

Table of E_tot (eV per atom), in record order: -5.37 -6.39 -6.41 -5.59 -5.79 -5.85 -6.31 -5.74
Table of energy of formation from the pure elements (eV/atom), in record order: -0.58 -0.46 -0.61 -0.52 -0.54 -0.69 -0.71 -0.61